--- P ---
Material: AlGa2Te2
Method: DFT, PBE
State: optimized geometry

Cell: 5.5981 5.5981 5.7231 Å, 60.72 60.72 90.00°
With the nearest neighbours (Å) after each atom.
Fractional coordinates of all 5 atoms:
Te: 0.7500 0.2500 0.5000  4 Ga 2.91
Te: 0.2500 0.7500 0.5000  4 Ga 2.91
Al: 0.0000 0.0000 0.0000  2 Ga 2.85
Ga: 0.3450 0.3450 0.3100  1 Ga 2.56, 1 Al 2.85
Ga: 0.6550 0.6550 0.6900  1 Ga 2.56, 1 Al 2.85

Output
* SG: I4/mmm

--- Q ---
Material: AlGa2Te2
Method: DFT, PBE
State: optimized geometry

Cell: 7.8665 7.8665 3.9889 Å, 90.00 90.00 90.00°
With the nearest neighbours (Å) after each atom.
Fractional coordinates of all 10 atoms:
Te: 0.1867 0.6867 0.5000  6 Ga 2.89-3.20
Te: 0.6867 0.8133 0.5000  6 Ga 2.89-3.20
Te: 0.8133 0.3133 0.5000  6 Ga 2.89-3.20
Te: 0.3133 0.1867 0.5000  6 Ga 2.89-3.20
Al: 0.0000 0.0000 0.0000  4 Ga 3.11
Al: 0.5000 0.5000 0.0000  4 Ga 3.11
Ga: 0.3753 0.8753 0.0000  1 Ga 2.78, 2 Te 2.89
Ga: 0.8753 0.6247 0.0000  1 Ga 2.78, 2 Te 2.89
Ga: 0.6247 0.1247 0.0000  1 Ga 2.78, 2 Te 2.89
Ga: 0.1247 0.3753 0.0000  1 Ga 2.78, 2 Te 2.89

Output
* SG: P4/mbm

Ordering by calculated energy gives the sequence P, Q, with the first entry being the most stable.

--- P ---
Material: Th2AlGa
Method: DFT, PBE
State: optimized geometry

Cell: 4.3124 4.8324 4.8324 Å, 90.00 90.00 90.00°
With the nearest neighbours (Å) after each atom.
Fractional coordinates of all 4 atoms:
Ga: 0.5000 0.0000 0.0000  8 Th 3.24, 4 Al 3.42
Th: 0.0000 0.0000 0.5000  4 Al 3.24, 4 Ga 3.24, 4 Th 3.42
Th: 0.0000 0.5000 0.0000  4 Al 3.24, 4 Ga 3.24, 4 Th 3.42
Al: 0.5000 0.5000 0.5000  8 Th 3.24, 4 Ga 3.42

Output
* SG: P4/mmm

--- Q ---
Material: Th2AlGa
Method: DFT, PBE
State: optimized geometry

Cell: 5.2538 5.2538 5.2538 Å, 60.00 60.00 60.00°
With the nearest neighbours (Å) after each atom.
Fractional coordinates of all 4 atoms:
Ga: 0.5000 0.5000 0.5000  8 Th 3.22
Th: 0.2500 0.2500 0.2500  4 Ga 3.22, 4 Al 3.22
Th: 0.7500 0.7500 0.7500  4 Al 3.22, 4 Ga 3.22
Al: 0.0000 0.0000 0.0000  8 Th 3.22

Output
* SG: Fm-3m

Ordering by calculated energy gives the sequence P, Q, with the first entry being the most stable.

--- P ---
Material: Th2AlGa
Method: DFT, PBE
State: optimized geometry

Cell: 3.7508 3.7508 9.3130 Å, 78.38 78.38 60.00°
With the nearest neighbours (Å) after each atom.
Fractional coordinates of all 4 atoms:
Ga: 0.0000 0.0000 0.0000  6 Th 3.11
Th: 0.2512 0.2512 0.2464  3 Ga 3.11, 3 Al 3.16
Th: 0.7488 0.7488 0.7536  3 Ga 3.11, 3 Al 3.16
Al: 0.5000 0.5000 0.5000  6 Th 3.16

Output
* SG: R-3m

--- Q ---
Material: Th2AlGa
Method: DFT, PBE
State: optimized geometry

Cell: 4.1404 4.4375 6.1133 Å, 111.28 90.00 90.00°
With the nearest neighbours (Å) after each atom.
Fractional coordinates of all 4 atoms:
Th: 0.0000 0.9807 0.9614  4 Ga 3.14, 3 Al 3.26-3.30
Th: 0.5000 0.2708 0.5417  4 Al 3.16, 3 Ga 3.21-3.33
Al: 0.0000 0.6948 0.3896  2 Ga 2.63
Ga: 0.5000 0.5529 0.1059  2 Al 2.63

Output
* SG: Amm2

Ordering by calculated energy gives the sequence Q, P, with the first entry being the most stable.